Entry 1:
TlTcIN2 | PBE | optimized geometry

Results
E_form (uncorrected) = 4.13 eV/f.u.
Excess energy over the best structure of this formula in the dataset = 0.00 eV/f.u.
Calculated volume = 19.16 Å³/atom

Unit cell a=4.1004 b=4.1004 c=5.6976 alpha=90.00 beta=90.00 gamma=90.00
Closest atoms and distances in Å follow each position.
Fractional coordinates of all 5 atoms:
I (0.0000, 0.0000, 0.5000)  2 Tc 2.85, 4 Tl 2.90
Tl (0.5000, 0.5000, 0.5000)  4 I 2.90
Tc (0.0000, 0.0000, 0.0000)  4 N 2.05
N (0.0000, 0.5000, 0.0000)  2 Tc 2.05
N (0.5000, 0.0000, 0.0000)  2 Tc 2.05

---

Entry 2:
Y3Er2Tl4 | PBE | optimized geometry

Results
Formation energy from the elements = -0.191 eV per atom
Calculated volume = 29.73 Å³/atom

Unit cell a=7.1797 b=9.5838 c=8.5657 alpha=90.00 beta=114.78 gamma=90.00
Closest atoms and distances in Å follow each position.
Fractional coordinates of all 18 atoms:
Y (0.0000, 0.0000, 0.0000)  6 Tl 3.00-3.06
Y (0.5000, 0.5000, 0.0000)  6 Tl 3.00-3.06
Y (0.5391, 0.7500, 0.5782)  5 Tl 3.12-3.24
Y (0.9609, 0.2500, 0.4218)  5 Tl 3.12-3.24
Y (0.4609, 0.2500, 0.4218)  5 Tl 3.12-3.24
Y (0.0391, 0.7500, 0.5782)  5 Tl 3.12-3.24
Er (0.1077, 0.5555, 0.2154)  3 Tl 3.16, 1 Er 3.52
Er (0.8923, 0.4445, 0.7846)  3 Tl 3.16, 1 Er 3.52
Er (0.3923, 0.0555, 0.7846)  3 Tl 3.16, 1 Er 3.52
Er (0.6077, 0.9445, 0.2154)  3 Tl 3.16, 1 Er 3.52
Tl (0.7410, 0.7500, 0.9819)  3 Y 3.00-3.14, 2 Er 3.16
Tl (0.7590, 0.2500, 0.0181)  3 Y 3.00-3.14, 2 Er 3.16
Tl (0.2590, 0.2500, 0.0181)  3 Y 3.00-3.14, 2 Er 3.16
Tl (0.2410, 0.7500, 0.9819)  3 Y 3.00-3.14, 2 Er 3.16
Tl (0.1959, 0.9692, 0.3918)  5 Y 3.06-3.24, 1 Er 3.16
Tl (0.8041, 0.0308, 0.6082)  5 Y 3.06-3.24, 1 Er 3.16
Tl (0.3041, 0.4692, 0.6082)  5 Y 3.06-3.24, 1 Er 3.16
Tl (0.6959, 0.5308, 0.3918)  5 Y 3.06-3.24, 1 Er 3.16

---

Entry 3:
CuOsNF2 | PBE | optimized geometry

Results
E_form (uncorrected) = -0.13 eV/f.u.
Excess energy over the best structure of this formula in the dataset = 0.00 eV/f.u.
Calculated volume = 13.38 Å³/atom

Unit cell a=4.2284 b=4.2284 c=3.7428 alpha=90.00 beta=90.00 gamma=90.00
Closest atoms and distances in Å follow each position.
Fractional coordinates of all 5 atoms:
N (0.0000, 0.0000, 0.5000)  2 Os 1.87
Os (0.0000, 0.0000, 0.0000)  2 N 1.87
Cu (0.5000, 0.5000, 0.5000)  8 F 2.82, 4 N 2.99
F (0.0000, 0.5000, 0.0000)  2 Os 2.11
F (0.5000, 0.0000, 0.0000)  2 Os 2.11

---

Entry 4:
LiMg2Sn | PBE | optimized geometry

Results
Formation energy from the elements = 0.035 eV per atom
Calculated volume = 23.84 Å³/atom

Unit cell a=4.3009 b=4.3009 c=10.7512 alpha=78.46 beta=78.46 gamma=90.00
Closest atoms and distances in Å follow each position.
Fractional coordinates of all 8 atoms:
Mg (0.6205, 0.1250, 0.2500)  2 Li 2.99, 2 Sn 3.00, 4 Mg 3.01-3.07
Mg (0.1295, 0.6250, 0.2500)  2 Li 2.99, 2 Sn 3.00, 4 Mg 3.01-3.07
Mg (0.3750, 0.3795, 0.7500)  2 Li 2.99, 2 Sn 3.00, 4 Mg 3.01-3.07
Mg (0.8750, 0.8705, 0.7500)  2 Li 2.99, 2 Sn 3.00, 4 Mg 3.01-3.07
Sn (0.0000, 0.0000, 0.0000)  4 Mg 3.00, 4 Li 3.04
Sn (0.7500, 0.2500, 0.5000)  4 Mg 3.00, 4 Li 3.04
Li (0.5000, 0.5000, 0.0000)  4 Mg 2.99, 4 Sn 3.04
Li (0.2500, 0.7500, 0.5000)  4 Mg 2.99, 4 Sn 3.04

---

Entry 5:
Ta2P | PBE | optimized geometry

Results
Formation energy from the elements = -0.247 eV per atom
Calculated volume = 17.85 Å³/atom

Unit cell a=3.4122 b=5.1784 c=6.0616 alpha=90.00 beta=90.00 gamma=90.00
Closest atoms and distances in Å follow each position.
Fractional coordinates of all 6 atoms:
Ta (0.0000, 0.2221, 0.6481)  3 P 2.41-2.42
Ta (0.0000, 0.7779, 0.3519)  3 P 2.41-2.42
Ta (0.5000, 0.7221, 0.8519)  3 P 2.41-2.42
Ta (0.5000, 0.2779, 0.1481)  3 P 2.41-2.42
P (0.0000, 0.0000, 0.0000)  6 Ta 2.41-2.42
P (0.5000, 0.5000, 0.5000)  6 Ta 2.41-2.42

---

Entry 6:
PrY2S4 | PBE | optimized geometry

Results
E_form (uncorrected) = -14.53 eV/f.u.
Excess energy over the best structure of this formula in the dataset = 0.00 eV/f.u.
Calculated volume = 24.02 Å³/atom

Unit cell a=3.8895 b=6.7988 c=13.2695 alpha=90.00 beta=90.00 gamma=106.62
Closest atoms and distances in Å follow each position.
Fractional coordinates of all 14 atoms:
Pr (0.6238, 0.2476, 0.7500)  6 S 2.87-2.93
Pr (0.3762, 0.7524, 0.2500)  6 S 2.87-2.93
Y (0.1300, 0.2599, 0.4320)  6 S 2.70-2.79
Y (0.8700, 0.7401, 0.9320)  6 S 2.70-2.79
Y (0.1300, 0.2599, 0.0680)  6 S 2.70-2.79
Y (0.8700, 0.7401, 0.5680)  6 S 2.70-2.79
S (0.7729, 0.5459, 0.1190)  3 Y 2.78-2.79, 2 Pr 2.93
S (0.7729, 0.5459, 0.3810)  3 Y 2.78-2.79, 2 Pr 2.93
S (0.2271, 0.4541, 0.8810)  3 Y 2.78-2.79, 2 Pr 2.93
S (0.2271, 0.4541, 0.6190)  3 Y 2.78-2.79, 2 Pr 2.93
S (0.9619, 0.9239, 0.7500)  2 Y 2.70, 2 Pr 2.87
S (0.0381, 0.0761, 0.2500)  2 Y 2.70, 2 Pr 2.87
S (0.5000, 0.0000, 0.0000)  4 Y 2.73
S (0.5000, 0.0000, 0.5000)  4 Y 2.73

---

Entry 7:
NbFeS | PBE | optimized geometry

Results
E_form (uncorrected) = -1.02 eV/f.u.
Excess energy over the best structure of this formula in the dataset = 0.22 eV/f.u.
Calculated volume = 14.51 Å³/atom

Unit cell a=3.0937 b=3.2274 c=8.7211 alpha=90.00 beta=90.00 gamma=90.00
Closest atoms and distances in Å follow each position.
Fractional coordinates of all 6 atoms:
S (0.0000, 0.0000, 0.1571)  4 Fe 2.36, 3 Nb 2.46-2.50
S (0.0000, 0.5000, 0.6571)  4 Fe 2.36, 3 Nb 2.46-2.50
Nb (0.0000, 0.0000, 0.4435)  3 S 2.46-2.50
Nb (0.0000, 0.5000, 0.9435)  3 S 2.46-2.50
Fe (0.5000, 0.0000, 0.7425)  4 S 2.36
Fe (0.5000, 0.5000, 0.2425)  4 S 2.36

---

Entry 8:
Li2Ca2UO6 | PBE | optimized geometry

Results
E_form (uncorrected) = -30.50 eV/f.u.
Calculated volume = 14.30 Å³/atom

Unit cell a=5.9621 b=5.9621 c=5.3199 alpha=97.78 beta=97.78 gamma=120.18
Closest atoms and distances in Å follow each position.
Fractional coordinates of all 11 atoms:
Li (0.8603, 0.1397, 0.0000)  4 O 2.12-2.22
Li (0.1397, 0.8603, 0.0000)  4 O 2.12-2.22
Ca (0.3350, 0.6650, 0.5000)  6 O 2.32-2.43
Ca (0.6650, 0.3350, 0.5000)  6 O 2.32-2.43
U (0.0000, 0.0000, 0.5000)  6 O 2.06-2.11
O (0.7709, 0.7709, 0.7295)  1 U 2.06, 2 Li 2.22
O (0.0362, 0.3451, 0.7184)  1 U 2.11, 1 Li 2.12, 1 Ca 2.32
O (0.2291, 0.2291, 0.2705)  1 U 2.06, 2 Li 2.22
O (0.3451, 0.0362, 0.7184)  1 U 2.11, 1 Li 2.12, 1 Ca 2.32
O (0.9638, 0.6549, 0.2816)  1 U 2.11, 1 Li 2.12, 1 Ca 2.32
O (0.6549, 0.9638, 0.2816)  1 U 2.11, 1 Li 2.12, 1 Ca 2.32

---

Entry 9:
TlCuSe2 | PBE | optimized geometry

Results
E_form (uncorrected) = -0.75 eV/f.u.
Calculated volume = 29.28 Å³/atom

Unit cell a=6.0906 b=6.0906 c=8.6579 alpha=42.50 beta=42.50 gamma=35.11
Closest atoms and distances in Å follow each position.
Fractional coordinates of all 4 atoms:
Cu (0.7500, 0.7500, 0.7500)  4 Se 2.38
Se (0.1170, 0.1170, 0.7559)  2 Cu 2.38
Se (0.3830, 0.3830, 0.7441)  2 Cu 2.38
Tl (0.2500, 0.2500, 0.2500)  6 Se 3.33-3.41, 2 Tl 3.67, 2 Cu 3.69

---

Entry 10:
KZnCo | PBE | optimized geometry

Results
Formation energy from the elements = 0.787 eV per atom
Excess energy over the best structure of this formula in the dataset = 0.99 eV/f.u.
Calculated volume = 19.15 Å³/atom

Unit cell a=2.9545 b=2.9545 c=7.6003 alpha=90.00 beta=90.00 gamma=120.00
Closest atoms and distances in Å follow each position.
Fractional coordinates of all 3 atoms:
Co (0.0000, 0.0000, 0.9635)  3 Zn 2.54
K (0.3333, 0.6667, 0.3207)  6 K 2.95, 3 Co 3.21
Zn (0.6667, 0.3333, 0.7158)  3 Co 2.54

---

Entry 11:
NpAg3S4 | PBE | optimized geometry

Results
E_form (uncorrected) = -3.91 eV/f.u.
Excess energy over the best structure of this formula in the dataset = 0.00 eV/f.u.
Calculated volume = 20.25 Å³/atom

Unit cell a=6.8247 b=6.6177 c=7.7013 alpha=90.00 beta=90.00 gamma=111.33
Closest atoms and distances in Å follow each position.
Fractional coordinates of all 16 atoms:
Np (0.7500, 0.0000, 0.8532)  6 S 2.60-2.71
Np (0.2500, 0.0000, 0.1468)  6 S 2.60-2.71
S (0.9921, 0.2575, 0.6226)  1 Np 2.60, 5 Ag 2.68-2.86
S (0.5022, 0.2321, 0.8893)  2 Np 2.68-2.71, 4 Ag 2.70-2.89
S (0.4921, 0.2575, 0.3774)  1 Np 2.60, 5 Ag 2.68-2.86
S (0.0022, 0.2321, 0.1107)  2 Np 2.68-2.71, 4 Ag 2.70-2.89
S (0.9978, 0.7679, 0.8893)  2 Np 2.68-2.71, 4 Ag 2.70-2.89
S (0.5079, 0.7425, 0.6226)  1 Np 2.60, 5 Ag 2.68-2.86
S (0.4978, 0.7679, 0.1107)  2 Np 2.68-2.71, 4 Ag 2.70-2.89
S (0.0079, 0.7425, 0.3774)  1 Np 2.60, 5 Ag 2.68-2.86
Ag (0.7500, 0.0000, 0.3736)  6 S 2.69-2.86
Ag (0.2500, 0.0000, 0.6264)  6 S 2.69-2.86
Ag (0.7500, 0.5000, 0.6397)  6 S 2.69-2.78
Ag (0.7500, 0.5000, 0.1317)  6 S 2.68-2.89
Ag (0.2500, 0.5000, 0.3603)  6 S 2.69-2.78
Ag (0.2500, 0.5000, 0.8683)  6 S 2.68-2.89

---

Entry 12:
LiPdN | PBE | optimized geometry

Results
E_form (uncorrected) = -0.69 eV/f.u.
Excess energy over the best structure of this formula in the dataset = 0.00 eV/f.u.
Calculated volume = 12.07 Å³/atom

Unit cell a=2.8012 b=2.8012 c=31.9614 alpha=90.00 beta=90.00 gamma=120.00
Closest atoms and distances in Å follow each position.
Fractional coordinates of all 18 atoms:
Li (0.0000, 0.0000, 0.2477)  3 N 2.15
Li (0.3333, 0.6667, 0.9144)  3 N 2.15
Li (0.6667, 0.3333, 0.5811)  3 N 2.15
Li (0.0000, 0.0000, 0.1229)  3 N 2.14
Li (0.3333, 0.6667, 0.7895)  3 N 2.14
Li (0.6667, 0.3333, 0.4562)  3 N 2.14
Pd (0.0000, 0.0000, 0.3888)  3 Li 2.69, 9 Pd 2.80-2.86
Pd (0.3333, 0.6667, 0.0555)  3 Li 2.69, 9 Pd 2.80-2.86
Pd (0.6667, 0.3333, 0.7222)  3 Li 2.69, 9 Pd 2.80-2.86
Pd (0.0000, 0.0000, 0.6483)  3 Li 2.69, 9 Pd 2.80-2.86
Pd (0.3333, 0.6667, 0.3149)  3 Li 2.69, 9 Pd 2.80-2.86
Pd (0.6667, 0.3333, 0.9816)  3 Li 2.69, 9 Pd 2.80-2.86
N (0.0000, 0.0000, 0.8702)  1 N 1.17
N (0.3333, 0.6667, 0.5369)  1 N 1.17
N (0.6667, 0.3333, 0.2035)  1 N 1.17
N (0.0000, 0.0000, 0.8336)  1 N 1.17
N (0.3333, 0.6667, 0.5003)  1 N 1.17
N (0.6667, 0.3333, 0.1669)  1 N 1.17

---

Question: Look up the calculated volume of the eleventh one.
Answer: 20.25 Å³/atom